Density functional theory data (PBE-GGA) for BeCo after structural relaxation.

Unit cell a=3.753 b=3.753 c=3.753 alpha=60.00 beta=60.00 gamma=60.00
Positions (direct):
Be  0.125  0.125  0.125
Be  0.875  0.875  0.875
Co  0.375  0.375  0.375
Co  0.625  0.625  0.625

Summary:
Calculated volume ... 37 Å³/cell
ΔE_f ... -0.14 eV per atom
Theoretical density ... 6036 kg/m3
Energy ... -0.2043 hartree per atom